Entry P
! AlTe2SN | Alexandria | PBE-GGA | optimized geometry; values from VASP
&SYSTEM
  ibrav = 0, nat = 5, ntyp = 4
/
ATOMIC_SPECIES
Al 26.98 Al.upf
Te 127.60 Te.upf
S 32.06 S.upf
N 14.01 N.upf
ATOMIC_POSITIONS crystal
Al 0.0000 0.0000 0.0000
Te 0.0000 0.5000 0.0000
Te 0.5000 0.0000 0.0000
S 0.5000 0.5000 0.5000
N 0.0000 0.0000 0.5000
CELL_PARAMETERS angstrom
5.5111 0.0000 0.0000
0.0000 5.5111 0.0000
0.0000 0.0000 3.4933
! symmetry	P4/mmm (123)
! density	5.14	g/cm3
! DOS at the Fermi energy	4.91	states/eV/cell


Entry Q
! AlTe2SN | Alexandria | PBE-GGA | optimized geometry; values from VASP
&SYSTEM
  ibrav = 0, nat = 5, ntyp = 4
/
ATOMIC_SPECIES
Al 26.98 Al.upf
Te 127.60 Te.upf
S 32.06 S.upf
N 14.01 N.upf
ATOMIC_POSITIONS crystal
Al 0.0000 0.0000 0.0000
Te 0.0000 0.5000 0.5000
Te 0.5000 0.0000 0.5000
S 0.5000 0.5000 0.5000
N 0.5000 0.5000 0.0000
CELL_PARAMETERS angstrom
5.9993 0.0000 0.0000
0.0000 5.9993 0.0000
0.0000 0.0000 3.2337
! symmetry	P4/mmm (123)
! density	4.68	g/cm3
! DOS at the Fermi energy	1.98	states/eV/cell


Stability ranking, top and bottom: entry P is the most stable and entry Q is the least stable.


Entry P
! TiAlS2N | Alexandria | PBE-GGA | optimized geometry; values from VASP
&SYSTEM
  ibrav = 0, nat = 5, ntyp = 4
/
ATOMIC_SPECIES
Ti 47.87 Ti.upf
Al 26.98 Al.upf
S 32.06 S.upf
N 14.01 N.upf
ATOMIC_POSITIONS crystal
Ti 0.0000 0.0000 0.0000
Al 0.5000 0.5000 0.5000
S 0.0000 0.5000 0.5000
S 0.5000 0.0000 0.5000
N 0.5000 0.5000 0.0000
CELL_PARAMETERS angstrom
4.6569 0.0000 0.0000
0.0000 4.6569 0.0000
0.0000 0.0000 3.5566
! symmetry	P4/mmm (123)
! density	3.29	g/cm3
! DOS at the Fermi energy	4.74	states/eV/cell


Entry Q
! TiAlS2N | Alexandria | PBE-GGA | optimized geometry; values from VASP
&SYSTEM
  ibrav = 0, nat = 5, ntyp = 4
/
ATOMIC_SPECIES
Ti 47.87 Ti.upf
Al 26.98 Al.upf
S 32.06 S.upf
N 14.01 N.upf
ATOMIC_POSITIONS crystal
Ti 0.0000 0.0000 0.0000
Al 0.5000 0.5000 0.5000
S 0.0000 0.5000 0.0000
S 0.5000 0.0000 0.0000
N 0.0000 0.0000 0.5000
CELL_PARAMETERS angstrom
4.8472 0.0000 0.0000
0.0000 4.8472 0.0000
0.0000 0.0000 3.7346
! symmetry	P4/mmm (123)
! density	2.90	g/cm3
! DOS at the Fermi energy	3.13	states/eV/cell


Stability ranking, top and bottom: entry Q is the most stable and entry P is the least stable.


Entry P
! AlVS2N | Alexandria | PBE-GGA | optimized geometry; values from VASP
&SYSTEM
  ibrav = 0, nat = 5, ntyp = 4
/
ATOMIC_SPECIES
Al 26.98 Al.upf
V 50.94 V.upf
S 32.06 S.upf
N 14.01 N.upf
ATOMIC_POSITIONS crystal
Al 0.0000 0.0000 0.0000
V 0.5000 0.5000 0.5000
S 0.0000 0.5000 0.0000
S 0.5000 0.0000 0.0000
N 0.0000 0.0000 0.5000
CELL_PARAMETERS angstrom
4.6649 0.0000 0.0000
0.0000 4.6649 0.0000
0.0000 0.0000 3.5511
! symmetry	P4/mmm (123)
! density	3.35	g/cm3
! DOS at the Fermi energy	5.66	states/eV/cell


Entry Q
! AlVS2N | Alexandria | PBE-GGA | optimized geometry; values from VASP
&SYSTEM
  ibrav = 0, nat = 5, ntyp = 4
/
ATOMIC_SPECIES
Al 26.98 Al.upf
V 50.94 V.upf
S 32.06 S.upf
N 14.01 N.upf
ATOMIC_POSITIONS crystal
Al 0.0000 0.0000 0.0000
V 0.5000 0.5000 0.5000
S 0.0000 0.5000 0.5000
S 0.5000 0.0000 0.5000
N 0.5000 0.5000 0.0000
CELL_PARAMETERS angstrom
4.7347 0.0000 0.0000
0.0000 4.7347 0.0000
0.0000 0.0000 3.6050
! symmetry	P4/mmm (123)
! density	3.21	g/cm3
! DOS at the Fermi energy	2.05	states/eV/cell


Stability ranking, top and bottom: entry Q is the most stable and entry P is the least stable.


Entry P
! AlVSN2 | Alexandria | PBE-GGA | optimized geometry; values from VASP
&SYSTEM
  ibrav = 0, nat = 5, ntyp = 4
/
ATOMIC_SPECIES
Al 26.98 Al.upf
V 50.94 V.upf
S 32.06 S.upf
N 14.01 N.upf
ATOMIC_POSITIONS crystal
Al 0.0000 0.0000 0.0000
V 0.5000 0.5000 0.5000
S 0.5000 0.5000 0.0000
N 0.0000 0.5000 0.5000
N 0.5000 0.0000 0.5000
CELL_PARAMETERS angstrom
3.7100 0.0000 0.0000
0.0000 3.7100 0.0000
0.0000 0.0000 4.9846
! symmetry	P4/mmm (123)
! density	3.34	g/cm3
! DOS at the Fermi energy	2.99	states/eV/cell


Entry Q
! AlVSN2 | Alexandria | PBE-GGA | optimized geometry; values from VASP
&SYSTEM
  ibrav = 0, nat = 5, ntyp = 4
/
ATOMIC_SPECIES
Al 26.98 Al.upf
V 50.94 V.upf
S 32.06 S.upf
N 14.01 N.upf
ATOMIC_POSITIONS crystal
Al 0.0000 0.0000 0.0000
V 0.5000 0.5000 0.5000
S 0.0000 0.0000 0.5000
N 0.0000 0.5000 0.0000
N 0.5000 0.0000 0.0000
CELL_PARAMETERS angstrom
3.6449 0.0000 0.0000
0.0000 3.6449 0.0000
0.0000 0.0000 4.7986
! symmetry	P4/mmm (123)
! density	3.59	g/cm3
! DOS at the Fermi energy	5.60	states/eV/cell


Stability ranking, top and bottom: entry P is the most stable and entry Q is the least stable.


Entry P
! AlZnS2N | Alexandria | PBE-GGA | optimized geometry; values from VASP
&SYSTEM
  ibrav = 0, nat = 5, ntyp = 4
/
ATOMIC_SPECIES
Al 26.98 Al.upf
Zn 65.41 Zn.upf
S 32.06 S.upf
N 14.01 N.upf
ATOMIC_POSITIONS crystal
Al 0.0000 0.0000 0.0000
Zn 0.5000 0.5000 0.5000
S 0.0000 0.5000 0.5000
S 0.5000 0.0000 0.5000
N 0.5000 0.5000 0.0000
CELL_PARAMETERS angstrom
4.8357 0.0000 0.0000
0.0000 4.8357 0.0000
0.0000 0.0000 3.7281
! symmetry	P4/mmm (123)
! density	3.25	g/cm3
! DOS at the Fermi energy	1.90	states/eV/cell


Entry Q
! AlZnS2N | Alexandria | PBE-GGA | optimized geometry; values from VASP
&SYSTEM
  ibrav = 0, nat = 5, ntyp = 4
/
ATOMIC_SPECIES
Al 26.98 Al.upf
Zn 65.41 Zn.upf
S 32.06 S.upf
N 14.01 N.upf
ATOMIC_POSITIONS crystal
Al 0.0000 0.0000 0.0000
Zn 0.5000 0.5000 0.5000
S 0.0000 0.5000 0.0000
S 0.5000 0.0000 0.0000
N 0.0000 0.0000 0.5000
CELL_PARAMETERS angstrom
4.7842 0.0000 0.0000
0.0000 4.7842 0.0000
0.0000 0.0000 3.5897
! symmetry	P4/mmm (123)
! density	3.45	g/cm3
! DOS at the Fermi energy	5.82	states/eV/cell


Stability ranking, top and bottom: entry Q is the most stable and entry P is the least stable.


Entry P
! AlZnSN2 | Alexandria | PBE-GGA | optimized geometry; values from VASP
&SYSTEM
  ibrav = 0, nat = 5, ntyp = 4
/
ATOMIC_SPECIES
Al 26.98 Al.upf
Zn 65.41 Zn.upf
S 32.06 S.upf
N 14.01 N.upf
ATOMIC_POSITIONS crystal
Al 0.0000 0.0000 0.0000
Zn 0.5000 0.5000 0.5000
S 0.5000 0.5000 0.0000
N 0.0000 0.5000 0.5000
N 0.5000 0.0000 0.5000
CELL_PARAMETERS angstrom
3.7982 0.0000 0.0000
0.0000 3.7982 0.0000
0.0000 0.0000 5.3679
! symmetry	P4/mmm (123)
! density	3.27	g/cm3
! DOS at the Fermi energy	1.79	states/eV/cell


Entry Q
! AlZnSN2 | Alexandria | PBE-GGA | optimized geometry; values from VASP
&SYSTEM
  ibrav = 0, nat = 5, ntyp = 4
/
ATOMIC_SPECIES
Al 26.98 Al.upf
Zn 65.41 Zn.upf
S 32.06 S.upf
N 14.01 N.upf
ATOMIC_POSITIONS crystal
Al 0.0000 0.0000 0.0000
Zn 0.5000 0.5000 0.5000
S 0.0000 0.0000 0.5000
N 0.0000 0.5000 0.0000
N 0.5000 0.0000 0.0000
CELL_PARAMETERS angstrom
3.6406 0.0000 0.0000
0.0000 3.6406 0.0000
0.0000 0.0000 5.5077
! symmetry	P4/mmm (123)
! density	3.47	g/cm3
! DOS at the Fermi energy	1.92	states/eV/cell


Stability ranking, top and bottom: entry Q is the most stable and entry P is the least stable.


Entry P
! ZrAlS2N | Alexandria | PBE-GGA | optimized geometry; values from VASP
&SYSTEM
  ibrav = 0, nat = 5, ntyp = 4
/
ATOMIC_SPECIES
Zr 91.22 Zr.upf
Al 26.98 Al.upf
S 32.06 S.upf
N 14.01 N.upf
ATOMIC_POSITIONS crystal
Zr 0.0000 0.0000 0.0000
Al 0.5000 0.5000 0.5000
S 0.0000 0.5000 0.5000
S 0.5000 0.0000 0.5000
N 0.5000 0.5000 0.0000
CELL_PARAMETERS angstrom
4.6837 0.0000 0.0000
0.0000 4.6837 0.0000
0.0000 0.0000 3.5832
! symmetry	P4/mmm (123)
! density	4.15	g/cm3
! DOS at the Fermi energy	2.04	states/eV/cell


Entry Q
! ZrAlS2N | Alexandria | PBE-GGA | optimized geometry; values from VASP
&SYSTEM
  ibrav = 0, nat = 5, ntyp = 4
/
ATOMIC_SPECIES
Zr 91.22 Zr.upf
Al 26.98 Al.upf
S 32.06 S.upf
N 14.01 N.upf
ATOMIC_POSITIONS crystal
Zr 0.0000 0.0000 0.0000
Al 0.5000 0.5000 0.5000
S 0.0000 0.5000 0.0000
S 0.5000 0.0000 0.0000
N 0.0000 0.0000 0.5000
CELL_PARAMETERS angstrom
5.0925 0.0000 0.0000
0.0000 5.0925 0.0000
0.0000 0.0000 4.0672
! symmetry	P4/mmm (123)
! density	3.09	g/cm3
! DOS at the Fermi energy	5.79	states/eV/cell


Stability ranking, top and bottom: entry P is the most stable and entry Q is the least stable.


Entry P
! ZrAlSN2 | Alexandria | PBE-GGA | optimized geometry; values from VASP
&SYSTEM
  ibrav = 0, nat = 5, ntyp = 4
/
ATOMIC_SPECIES
Zr 91.22 Zr.upf
Al 26.98 Al.upf
S 32.06 S.upf
N 14.01 N.upf
ATOMIC_POSITIONS crystal
Zr 0.0000 0.0000 0.0000
Al 0.5000 0.5000 0.5000
S 0.0000 0.0000 0.5000
N 0.0000 0.5000 0.0000
N 0.5000 0.0000 0.0000
CELL_PARAMETERS angstrom
4.0845 0.0000 0.0000
0.0000 4.0845 0.0000
0.0000 0.0000 5.3854
! symmetry	P4/mmm (123)
! density	3.30	g/cm3
! DOS at the Fermi energy	2.25	states/eV/cell


Entry Q
! ZrAlSN2 | Alexandria | PBE-GGA | optimized geometry; values from VASP
&SYSTEM
  ibrav = 0, nat = 5, ntyp = 4
/
ATOMIC_SPECIES
Zr 91.22 Zr.upf
Al 26.98 Al.upf
S 32.06 S.upf
N 14.01 N.upf
ATOMIC_POSITIONS crystal
Zr 0.0000 0.0000 0.0000
Al 0.5000 0.5000 0.5000
S 0.5000 0.5000 0.0000
N 0.0000 0.5000 0.5000
N 0.5000 0.0000 0.5000
CELL_PARAMETERS angstrom
3.7454 0.0000 0.0000
0.0000 3.7454 0.0000
0.0000 0.0000 4.6741
! symmetry	P4/mmm (123)
! density	4.52	g/cm3
! DOS at the Fermi energy	2.54	states/eV/cell


Stability ranking, top and bottom: entry Q is the most stable and entry P is the least stable.